! Ce8Os2Pt3 (PBE, relaxed); values from VASP
! Symmetry ... C2/m
! Calculated formation energy ... -0.480 eV/atom
! Density of states at the Fermi level ... 29.15 states/eV per cell
&SYSTEM
  ibrav = 0, nat = 13, ntyp = 3
/
ATOMIC_SPECIES
Ce 140.12 Ce.upf
Os 190.23 Os.upf
Pt 195.08 Pt.upf
ATOMIC_POSITIONS crystal
Ce 0.0963 0.6576 0.9676
Ce 0.1472 0.1472 0.4564
Ce 0.3424 0.9037 0.0324
Ce 0.3622 0.3622 0.4730
Ce 0.6378 0.6378 0.5270
Ce 0.6576 0.0963 0.9676
Ce 0.8528 0.8528 0.5436
Ce 0.9037 0.3424 0.0324
Os 0.2661 0.2661 0.9576
Os 0.7339 0.7339 0.0424
Pt 0.2395 0.7605 0.5000
Pt 0.5000 0.5000 0.0000
Pt 0.7605 0.2395 0.5000
CELL_PARAMETERS angstrom
6.7527 -4.4643 0.0000
6.7527 4.4643 0.0000
-0.9815 0.0000 5.2178